[1]
## MgCdPt2 (SCAN)

Data for MgCdPt2 at its PBEsol-relaxed geometry.

- Space-group type: No. 65
- Calculated total energy: -178.5 eV for the cell shown
- ΔE_f: -0.669 eV per atom
- Total moment: 0.0 μB/cell

Lattice parameters (Å, degrees): 2.9590 4.7345 4.7345 103.32 90.00 90.00
Last column: nearest neighbours and their distance in Å.
Atoms (fractional coordinates):
1 Mg 0.5000 0.5000 0.5000  8 Pt 2.79, 2 Cd 2.94, 2 Mg 2.96
2 Pt 0.0000 0.5000 0.0000  4 Cd 2.79, 4 Mg 2.79, 4 Pt 2.94-2.96
3 Pt 0.0000 0.0000 0.5000  4 Mg 2.79, 4 Cd 2.79, 4 Pt 2.94-2.96
4 Cd 0.5000 0.0000 0.0000  8 Pt 2.79, 2 Mg 2.94, 2 Cd 2.96

[2]
## MgCdPt (SCAN)

Data for MgCdPt at its PBEsol-relaxed geometry.

- Space-group type: No. 44
- Calculated total energy: -107.3 eV for the cell shown
- ΔE_f: -0.585 eV per atom
- Total moment: 0.0 μB/cell

Lattice parameters (Å, degrees): 2.9468 3.8882 5.0831 112.49 106.85 90.00
Last column: nearest neighbours and their distance in Å.
Atoms (fractional coordinates):
1 Mg 0.6798 0.6798 0.3596  4 Pt 2.76, 5 Cd 2.82-2.94, 2 Mg 2.95
2 Pt 0.3240 0.3240 0.6479  4 Mg 2.76, 5 Cd 2.88-2.92, 2 Pt 2.95
3 Cd 0.9963 0.9963 0.9925  5 Mg 2.82-2.94, 5 Pt 2.88-2.92, 2 Cd 2.95